(P)
A relaxed PrSm2Ho4 crystal, computed with PBE.

Unit cell a=16.8001 b=3.5491 c=8.8005 alpha=90.00 beta=119.70 gamma=90.00
With the nearest neighbours (Å) after each atom.
Space group C2/m (No. 12)
Symmetry-distinct sites (fractional):
Pr: 0.0000 0.0000 0.0000 x2  2 Sm 3.35, 2 Pr 3.55, 4 Ho 3.61
Sm: 0.0694 0.0000 0.4287 x4  1 Sm 3.15, 1 Ho 3.32, 1 Pr 3.35
Ho: 0.1457 0.5000 0.8411 x4  7 Ho 3.55-3.69, 4 Sm 3.65, 2 Pr 3.81
Ho: 0.2068 0.5000 0.2940 x4  3 Sm 3.32-3.55, 7 Ho 3.55-3.69, 2 Pr 3.61

Properties
The calculation puts the spin magnetization at 0.000 μB/cell.

---

(Q)
A relaxed PrSm2Ho4 crystal, computed with PBE.

Unit cell a=6.1048 b=6.6132 c=11.6392 alpha=90.00 beta=104.14 gamma=90.00
With the nearest neighbours (Å) after each atom.
Space group P2_1/m (No. 11)
Symmetry-distinct sites (fractional):
Pr: 0.0390 0.2500 0.3637 x2  2 Sm 3.34-3.39, 6 Ho 3.35-3.48
Sm: 0.1575 0.2500 0.9512 x2  9 Ho 3.29-3.56
Sm: 0.3985 0.7500 0.5118 x2  2 Pr 3.34-3.39, 3 Ho 3.46-3.66, 2 Sm 3.57
Ho: 0.1454 0.2500 0.6667 x2  2 Sm 3.29-3.46, 3 Pr 3.43-3.48, 2 Ho 3.48
Ho: 0.2822 0.7500 0.9219 x2  4 Sm 3.37-3.43, 1 Pr 3.42, 4 Ho 3.49-3.65
Ho: 0.3440 0.5084 0.2101 x4  4 Ho 3.20-3.49, 1 Pr 3.35, 2 Sm 3.41-3.56

Properties
The calculation puts the spin magnetization at 0.000 μB/cell.

---

Stability ranking, top and bottom: (P) is the most stable and (Q) is the least stable.

---

(P)
A relaxed Pr2Sm5Ho4 crystal, computed with PBE.

Unit cell a=3.5315 b=9.1440 c=23.5418 alpha=90.00 beta=90.00 gamma=90.00
With the nearest neighbours (Å) after each atom.
Space group Immm (No. 71)
Symmetry-distinct sites (fractional):
Pr: 0.0000 0.0000 0.2322 x4  1 Ho 3.19, 2 Sm 3.46, 2 Pr 3.53
Sm: 0.0000 0.1968 0.3579 x8  3 Ho 3.46-3.51, 1 Pr 3.46, 3 Sm 3.53-3.60
Sm: 0.0000 0.5000 0.0000 x2  4 Ho 3.36, 2 Sm 3.53
Ho: 0.0000 0.0000 0.0965 x4  1 Pr 3.19, 6 Ho 3.35-3.53, 4 Sm 3.46
Ho: 0.0000 0.3129 0.5000 x4  7 Ho 3.35-3.53, 4 Sm 3.36-3.51

Properties
The calculation puts the spin magnetization at 0.000 μB/cell.

---

(Q)
A relaxed Pr2Sm5Ho4 crystal, computed with PBE.

Unit cell a=23.6537 b=3.6071 c=8.8363 alpha=90.00 beta=104.43 gamma=90.00
With the nearest neighbours (Å) after each atom.
Space group C2/m (No. 12)
Symmetry-distinct sites (fractional):
Pr: 0.0899 0.0000 0.2246 x4  5 Ho 3.58-3.62, 2 Pr 3.61, 5 Sm 3.61-3.65
Sm: 0.0000 0.0000 0.5000 x2  6 Sm 3.61, 2 Pr 3.61, 4 Ho 3.61
Sm: 0.1368 0.5000 0.5943 x4  3 Ho 3.56-3.58, 7 Sm 3.60-3.65, 2 Pr 3.65
Sm: 0.2273 0.5000 0.3141 x4  3 Ho 3.57-3.58, 7 Sm 3.60-3.67, 2 Pr 3.63
Ho: 0.0470 0.5000 0.8635 x4  3 Sm 3.56-3.61, 5 Ho 3.58-3.67, 4 Pr 3.58-3.62
Ho: 0.1821 0.0000 0.9541 x4  5 Sm 3.57-3.58, 6 Ho 3.58-3.61, 1 Pr 3.62

Properties
The calculation puts the spin magnetization at 0.000 μB/cell.

---

Stability ranking, top and bottom: (Q) is the most stable and (P) is the least stable.

---

(P)
A relaxed Pr4Sm2Ho crystal, computed with PBE.

Unit cell a=6.2207 b=13.1939 c=6.0696 alpha=90.00 beta=90.00 gamma=90.00
With the nearest neighbours (Å) after each atom.
Space group Cmmm (No. 65)
Symmetry-distinct sites (fractional):
Pr: 0.0000 0.1369 0.0000 x4  3 Sm 3.13-3.34
Pr: 0.0000 0.3096 0.5000 x4  2 Sm 3.21, 2 Pr 3.49
Sm: 0.0000 0.3899 0.0000 x4  1 Sm 2.90, 4 Pr 3.13-3.21
Ho: 0.0000 0.0000 0.5000 x2  4 Pr 3.53

Properties
The calculation puts the spin magnetization at 0.000 μB/cell.

---

(Q)
A relaxed Pr4Sm2Ho crystal, computed with PBE.

Unit cell a=12.1835 b=24.5697 c=6.5475 alpha=90.00 beta=90.00 gamma=90.00
With the nearest neighbours (Å) after each atom.
Space group Fdd2 (No. 43)
Symmetry-distinct sites (fractional):
Pr: 0.0501 0.0699 0.0000 x16  4 Sm 3.46-3.72, 4 Pr 3.51-3.65, 2 Ho 3.73-3.77
Pr: 0.0649 0.1437 0.5287 x16  6 Pr 3.51-3.91, 3 Sm 3.62-3.87, 2 Ho 3.62-3.73
Sm: 0.0230 0.2147 0.0501 x16  7 Pr 3.46-3.87, 2 Ho 3.51-3.67, 2 Sm 3.75
Ho: 0.0000 0.0000 0.4967 x8  4 Sm 3.51-3.67, 8 Pr 3.62-3.77

Properties
The calculation puts the spin magnetization at 0.000 μB/cell.

---

Stability ranking, top and bottom: (Q) is the most stable and (P) is the least stable.

---

(P)
A relaxed PrSm3Ho crystal, computed with PBE.

Unit cell a=10.0839 b=7.4616 c=10.0928 alpha=90.00 beta=115.09 gamma=90.00
With the nearest neighbours (Å) after each atom.
Space group C2/m (No. 12)
Symmetry-distinct sites (fractional):
Pr: 0.0000 0.0000 0.0000 x2  6 Sm 3.46-3.78, 2 Ho 3.79
Pr: 0.0000 0.5000 0.5000 x2  6 Sm 3.50-3.74, 2 Ho 3.76
Sm: 0.0991 0.0000 0.4055 x4  7 Sm 3.30-3.55
Sm: 0.2500 0.2079 0.7548 x8  2 Sm 3.10-3.43, 1 Ho 3.38, 1 Pr 3.46
Ho: 0.0932 0.5000 0.9020 x4  1 Ho 3.26, 6 Sm 3.38-3.50

Properties
The calculation puts the spin magnetization at 0.000 μB/cell.

---

(Q)
A relaxed PrSm3Ho crystal, computed with PBE.

Unit cell a=10.2344 b=3.6258 c=18.1348 alpha=90.00 beta=90.00 gamma=90.00
With the nearest neighbours (Å) after each atom.
Space group Pnma (No. 62)
Symmetry-distinct sites (fractional):
Pr: 0.1266 0.2500 0.1494 x4  8 Sm 3.60-3.66, 2 Pr 3.63, 2 Ho 3.64
Sm: 0.1231 0.2500 0.3512 x4  3 Ho 3.59, 8 Sm 3.61-3.65, 1 Pr 3.66
Sm: 0.1249 0.2500 0.7499 x4  4 Pr 3.62-3.64, 7 Sm 3.62-3.65, 1 Ho 3.65
Sm: 0.1278 0.2500 0.9507 x4  3 Pr 3.60-3.65, 2 Ho 3.61, 7 Sm 3.61-3.65
Ho: 0.1221 0.2500 0.5489 x4  4 Ho 3.56-3.63, 6 Sm 3.59-3.65, 2 Pr 3.64

Properties
The calculation puts the spin magnetization at 0.000 μB/cell.

---

Stability ranking, top and bottom: (Q) is the most stable and (P) is the least stable.